*a*
Below is a relaxed AlFeF3 crystal, with properties calculated at the PBE+U level.

```
AlFeF3
1.0
3.928 0.000 0.000
0.000 3.928 0.000
0.000 0.000 3.928
F Al Fe
3 1 1
Cartesian
0.000 1.964 0.000 F
0.000 0.000 1.964 F
1.964 0.000 0.000 F
0.000 0.000 0.000 Al
1.964 1.964 1.964 Fe
```

- D(E_F): 0.83 states/eV/cell

***

*b*
Below is a relaxed AlFeF3 crystal, with properties calculated at the PBE+U level.

```
AlFeF3
1.0
-1.533 0.109 -3.862
3.129 -2.402 -1.310
-2.266 -3.391 0.804
F Al Fe
3 1 1
Cartesian
1.565 -1.201 -0.655 F
-1.133 -1.695 0.402 F
-0.766 0.055 -1.931 F
-0.335 -2.842 -2.184 Al
0.000 0.000 0.000 Fe
```

- D(E_F): 5.55 states/eV/cell

***

The data favor *a*; the next most stable structure lies 189 meV per atom above it.

***

*a*
Below is a relaxed Al3FeF crystal, with properties calculated at the PBE+U level.

```
Al3FeF
1.0
-0.367 -4.384 -0.499
4.355 -0.441 0.666
-0.709 -0.435 4.349
F Fe Al
1 1 3
Cartesian
1.640 -2.630 2.258 F
0.000 0.000 0.000 Fe
2.178 -0.220 0.333 Al
-0.354 -0.218 2.175 Al
-0.184 -2.192 -0.249 Al
```

- D(E_F): 1.87 states/eV/cell

***

*b*
Below is a relaxed Al3FeF crystal, with properties calculated at the PBE+U level.

```
Al3FeF
1.0
4.331 0.000 0.000
0.000 4.331 0.000
0.000 0.000 4.331
F Fe Al
1 1 3
Cartesian
0.000 0.000 0.000 F
2.165 2.165 2.165 Fe
0.000 2.165 0.000 Al
0.000 0.000 2.165 Al
2.165 0.000 0.000 Al
```

- D(E_F): 2.31 states/eV/cell

***

The data favor *b*; the next most stable structure lies 280 meV per atom above it.